Entry 1:
## YBeGa2Ni4 (GGA-PBE)

Data for an optimized crystal structure of YBeGa2Ni4.

As for the formation energy: -3.6 eV per formula unit. The value obtained for the total energy is -5.37 eV per atom.

It has space group R-3m (No. 166, hexagonal axes), with a = 3.9989 Å, b = 3.9989 Å, c = 23.9623 Å, α = 90.00°, β = 90.00° and γ = 120.00°. The asymmetric unit holds Y at (0.0000, 0.0000, 0.0000), Be at (0.0000, 0.0000, 0.5000), Ga at (0.0000, 0.0000, 0.2396), Ni at (0.0000, 0.0000, 0.1358) and Ni at (0.0000, 0.0000, 0.4098).

Entry 2:
## Be2Zn2GaNi5 (GGA-PBE)

Data for an optimized crystal structure of Be2Zn2GaNi5.

As for the formation energy: -2.6 eV per formula unit. The value obtained for the total energy is -4.46 eV per atom.

It has space group P4/mbm (No. 127), with a = 8.320 Å, b = 8.320 Å, c = 3.253 Å, α = 90.00°, β = 90.00° and γ = 90.00°. The asymmetric unit holds Be at (0.122, 0.378, 0.000), Zn at (0.173, 0.673, 0.000), Ga at (0.000, 0.000, 0.000), Ni at (0.000, 0.500, 0.500) and Ni at (0.076, 0.207, 0.500).

Entry 3:
## ZrBeGa2Ni4 (GGA-PBE)

Data for an optimized crystal structure of ZrBeGa2Ni4.

As for the formation energy: -3.4 eV per formula unit. The value obtained for the total energy is -5.61 eV per atom.

It has space group R-3m (No. 166, hexagonal axes), with a = 4.0012 Å, b = 4.0012 Å, c = 22.2912 Å, α = 90.00°, β = 90.00° and γ = 120.00°. The asymmetric unit holds Zr at (0.0000, 0.0000, 0.0000), Be at (0.0000, 0.0000, 0.5000), Ga at (0.0000, 0.0000, 0.2448), Ni at (0.0000, 0.0000, 0.1329) and Ni at (0.0000, 0.0000, 0.4025).

Entry 4:
## ZrBeGaNi (GGA-PBE)

Data for an optimized crystal structure of ZrBeGaNi.

As for the formation energy: -1.4 eV per formula unit. The value obtained for the total energy is -5.61 eV per atom.

It has space group F-43m (No. 216), with a = 6.059 Å, b = 6.059 Å, c = 6.059 Å, α = 90.00°, β = 90.00° and γ = 90.00°. The asymmetric unit holds Zr at (0.000, 0.000, 0.000), Be at (0.250, 0.250, 0.250), Ga at (0.000, 0.000, 0.500) and Ni at (0.250, 0.250, 0.750).

Entry 5:
## Np2BeGaPt6 (GGA-PBE)

Data for an optimized crystal structure of Np2BeGaPt6.

As for the formation energy: -2.7 eV per formula unit. The value obtained for the total energy is -7.16 eV per atom.

It has space group Fm-3m (No. 225), with a = 9.094 Å, b = 9.094 Å, c = 9.094 Å, α = 90.00°, β = 90.00° and γ = 90.00°. The asymmetric unit holds Np at (0.250, 0.250, 0.250), Be at (0.000, 0.000, 0.000), Ga at (0.000, 0.000, 0.500) and Pt at (0.000, 0.000, 0.235).

Entry 6:
## Np2Be4GaSi3 (GGA-PBE)

Data for an optimized crystal structure of Np2Be4GaSi3.

For the uncorrected formation energy, the calculation gives -0.184 eV/atom. The value obtained for the total energy is -6.19 eV per atom.

It has space group P-4m2 (No. 115), with a = 3.893 Å, b = 3.893 Å, c = 9.512 Å, α = 90.00°, β = 90.00° and γ = 90.00°. The asymmetric unit holds Np at (0.000, 0.500, 0.245), Be at (0.000, 0.000, 0.000), Be at (0.000, 0.500, 0.637), Be at (0.500, 0.500, 0.000), Ga at (0.000, 0.000, 0.500), Si at (0.000, 0.500, 0.870) and Si at (0.500, 0.500, 0.500).

Entry 7:
## Be2GaO4 (GGA-PBE)

Data for an optimized crystal structure of Be2GaO4.

For the uncorrected formation energy, the calculation gives -1.989 eV/atom. The value obtained for the total energy is -6.32 eV per atom.

It has space group P-42m (No. 111), with a = 3.860 Å, b = 3.860 Å, c = 4.440 Å, α = 90.00°, β = 90.00° and γ = 90.00°. The asymmetric unit holds Be at (0.000, 0.500, 0.000), Ga at (0.000, 0.000, 0.500) and O at (0.248, 0.248, 0.792).

Entry 8:
## Be2GaO (GGA-PBE)

Data for an optimized crystal structure of Be2GaO.

For the uncorrected formation energy, the calculation gives 0.614 eV/atom. The calculation puts the energy relative to the lowest polymorph listed for this composition at 5.77 eV/f.u. The value obtained for the total energy is -3.24 eV per atom.

It has space group Fm-3m (No. 225), with a = 5.668 Å, b = 5.668 Å, c = 5.668 Å, α = 90.00°, β = 90.00° and γ = 90.00°. The asymmetric unit holds Be at (0.250, 0.250, 0.250), Ga at (0.000, 0.000, 0.000) and O at (0.000, 0.000, 0.500).

Entry 9:
## Be2Ga4O (GGA-PBE)

Data for an optimized crystal structure of Be2Ga4O.

For the uncorrected formation energy, the calculation gives 0.035 eV/atom. The value obtained for the total energy is -3.47 eV per atom.

It has space group I4/mmm (No. 139), with a = 4.500 Å, b = 4.500 Å, c = 10.800 Å, α = 90.00°, β = 90.00° and γ = 90.00°. The asymmetric unit holds Be at (0.000, 0.000, 0.099), Ga at (0.000, 0.000, 0.312), Ga at (0.000, 0.500, 0.000) and O at (0.000, 0.000, 0.500).

Entry 10:
## Be2GaO (GGA-PBE)

Data for an optimized crystal structure of Be2GaO.

For the uncorrected formation energy, the calculation gives -0.828 eV/atom. The calculation puts the energy relative to the lowest polymorph listed for this composition at 0.00 eV/f.u. The value obtained for the total energy is -4.69 eV per atom.

It has space group I-42d (No. 122), with a = 4.860 Å, b = 4.860 Å, c = 7.742 Å, α = 90.00°, β = 90.00° and γ = 90.00°. The asymmetric unit holds Be at (0.124, 0.250, 0.125), Ga at (0.000, 0.000, 0.500) and O at (0.000, 0.000, 0.000).

Entry 11:
## BeGa2O (GGA-PBE)

Data for an optimized crystal structure of BeGa2O.

For the uncorrected formation energy, the calculation gives -0.282 eV/atom. The calculation puts the energy relative to the lowest polymorph listed for this composition at 0.00 eV/f.u. The value obtained for the total energy is -3.97 eV per atom.

It has space group I-42d (No. 122), with a = 5.242 Å, b = 5.242 Å, c = 9.063 Å, α = 90.00°, β = 90.00° and γ = 90.00°. The asymmetric unit holds Be at (0.000, 0.000, 0.000), Ga at (0.215, 0.250, 0.625) and O at (0.000, 0.000, 0.500).

Entry 12:
## Be2Ga2O5 (GGA-PBE)

Data for an optimized crystal structure of Be2Ga2O5.

For the uncorrected formation energy, the calculation gives -2.073 eV/atom. The value obtained for the total energy is -6.33 eV per atom.

It has space group C2/m (No. 12), with a = 17.535 Å, b = 2.900 Å, c = 4.908 Å, α = 90.00°, β = 105.19° and γ = 90.00°. The asymmetric unit holds Be at (0.150, 0.000, 0.118), Ga at (0.104, 0.500, 0.578), O at (0.000, 0.500, 0.500), O at (0.147, 0.000, 0.431) and O at (0.148, 0.500, 0.975).